CaInAu11: optimized geometry, PBE.

Computed properties:
- ΔH_f (0 K) (kJ per mole of atoms) = -18.7
- SG = C2/m (12)

abc: 5.647 7.555 7.113
angles: 81.88 66.61 69.17
Atoms (fractional coordinates):
1 Ca 0.000 0.000 0.000
2 In 0.500 0.500 0.000
3 Au 0.292 0.214 0.215
4 Au 0.708 0.786 0.785
5 Au 0.493 0.786 0.215
6 Au 0.507 0.214 0.785
7 Au 0.336 0.659 0.649
8 Au 0.664 0.341 0.351
9 Au 0.015 0.341 0.649
10 Au 0.985 0.659 0.351
11 Au 0.000 0.500 0.000
12 Au 0.500 0.000 0.500
13 Au 0.000 0.000 0.500